Record 1
! Y2TlPt PBE-GGA optimized geometry; values from VASP
&SYSTEM
  ibrav = 0, nat = 4, ntyp = 3
/
ATOMIC_SPECIES
Y 88.91 Y.upf
Pt 195.08 Pt.upf
Tl 204.38 Tl.upf
ATOMIC_POSITIONS crystal
Y 0.226 0.226 0.226
Y 0.010 0.010 0.010
Pt 0.499 0.499 0.499
Tl 0.765 0.765 0.765
CELL_PARAMETERS angstrom
9.191 -0.024 -0.015
8.387 3.758 -0.015
8.387 1.782 3.309
! Formation energy from the elements = -0.31 eV/atom
! Total energy = -5.65 eV per atom



Record 2
! Sr2CuIr PBE-GGA optimized geometry; values from VASP
&SYSTEM
  ibrav = 0, nat = 4, ntyp = 3
/
ATOMIC_SPECIES
Sr 87.62 Sr.upf
Cu 63.55 Cu.upf
Ir 192.22 Ir.upf
ATOMIC_POSITIONS crystal
Sr 0.509 0.509 0.472
Sr 0.991 0.991 0.028
Cu 0.750 0.750 0.750
Ir 0.250 0.250 0.250
CELL_PARAMETERS angstrom
-2.360 3.782 -0.193
-2.590 1.179 3.437
3.625 5.114 3.897
! Formation energy from the elements = 0.21 eV/atom
! Total energy = -3.87 eV per atom



Record 3
! CeAl12 PBE-GGA optimized geometry; values from VASP
&SYSTEM
  ibrav = 0, nat = 13, ntyp = 2
/
ATOMIC_SPECIES
Al 26.98 Al.upf
Ce 140.12 Ce.upf
ATOMIC_POSITIONS crystal
Al 0.000 0.645 0.355
Al 0.000 0.500 0.000
Al 0.500 0.500 0.000
Al 0.500 0.783 0.217
Al 0.500 0.217 0.783
Al 0.500 0.000 0.500
Al 0.645 0.355 0.355
Al 0.283 0.217 0.217
Al 0.717 0.783 0.783
Al 0.355 0.645 0.645
Al 0.000 0.355 0.645
Al 0.000 0.000 0.500
Ce 0.000 0.000 0.000
CELL_PARAMETERS angstrom
5.040 0.000 2.035
2.520 6.511 1.018
0.082 0.000 7.055
! Formation energy from the elements = -0.11 eV/atom
! Total energy = -4.02 eV per atom



Record 4
! AlAg2Te PBE-GGA optimized geometry; values from VASP
&SYSTEM
  ibrav = 0, nat = 4, ntyp = 3
/
ATOMIC_SPECIES
Al 26.98 Al.upf
Ag 107.87 Ag.upf
Te 127.60 Te.upf
ATOMIC_POSITIONS crystal
Al 0.000 0.000 0.448
Ag 0.000 0.000 0.034
Ag 0.500 0.500 0.260
Te 0.500 0.500 0.758
CELL_PARAMETERS angstrom
3.121 0.000 0.000
0.000 3.121 0.000
0.000 0.000 8.661
! ΔE_f (raw) = 0.18 eV/atom
! Total energy = -2.97 eV per atom